First-principles (PBE) data for a geometry-optimized Sr3PbAu3 structure, as listed in Alexandria via LeMat-Bulk.

Results
Formation enthalpy at 0 K   -0.66 eV/atom

Cell: 12.3141 4.5959 15.7693 Å, 90.00 109.57 90.00°
Closest atoms and distances in Å follow each position.
Space group C2/m (No. 12)
Unique sites:
Sr 0.0168 0.0000 0.3804 x4  6 Au 3.30-3.37, 3 Pb 3.45-3.61
Sr 0.1084 0.0000 0.9252 x4  7 Au 3.26-3.53
Sr 0.2367 0.0000 0.2254 x4  6 Au 3.28-3.60, 2 Pb 3.60
Pb 0.2334 0.5000 0.4006 x4  4 Au 2.87-3.19
Au 0.0113 0.5000 0.2234 x4  1 Au 2.95, 1 Pb 3.19, 2 Sr 3.26
Au 0.1097 0.5000 0.0766 x4  2 Au 2.95-2.96, 2 Sr 3.28
Au 0.1201 0.5000 0.5443 x4  1 Au 2.82, 3 Pb 2.87-3.03

First-principles (PBE) data for a geometry-optimized LiTl6Se4 structure, as listed in Alexandria via LeMat-Bulk.

Results
Energy relative to the elements, uncorrected   -0.43 eV/atom

Cell: 10.4208 10.4208 7.2301 Å, 90.00 90.00 120.00°
Closest atoms and distances in Å follow each position.
Space group P6_3mc (No. 186)
Unique sites:
Li 0.3333 0.6667 0.0000 x2  4 Se 2.63-2.70
Tl 0.0623 0.5312 0.3730 x6  3 Se 3.10-3.11
Tl 0.1531 0.3061 0.6989 x6  4 Se 3.11-3.29
Se 0.1913 0.3826 0.1189 x6  1 Li 2.70
Se 0.3333 0.6667 0.6357 x2  1 Li 2.63

First-principles (PBE) data for a geometry-optimized SmYMgGa structure, as listed in Alexandria via LeMat-Bulk.

Results
Formation enthalpy at 0 K   -0.36 eV/atom

Cell: 7.3863 7.3863 7.3863 Å, 90.00 90.00 90.00°
Closest atoms and distances in Å follow each position.
Space group F-43m (No. 216)
Unique sites:
Sm 0.0000 0.0000 0.0000 x4  4 Mg 3.20, 4 Ga 3.20
Y 0.0000 0.0000 0.5000 x4  4 Mg 3.20, 4 Ga 3.20
Mg 0.2500 0.2500 0.7500 x4  4 Sm 3.20, 4 Y 3.20
Ga 0.2500 0.2500 0.2500 x4  4 Sm 3.20, 4 Y 3.20

First-principles (PBE) data for a geometry-optimized Tc2AgRu structure, as listed in Alexandria via LeMat-Bulk.

Results
Excess energy over the best structure of this formula in the dataset   261 meV/atom
Formation enthalpy at 0 K   0.49 eV/atom

Cell: 3.8105 3.8105 8.2410 Å, 90.00 90.00 90.00°
Closest atoms and distances in Å follow each position.
Space group I4/mmm (No. 139)
Unique sites:
Tc 0.0000 0.5000 0.2500 x4  4 Tc 2.69, 4 Ru 2.81, 4 Ag 2.81
Ag 0.0000 0.0000 0.0000 x2  4 Ru 2.69, 8 Tc 2.81
Ru 0.0000 0.0000 0.5000 x2  4 Ag 2.69, 8 Tc 2.81